The following is a PBE calculation of a relaxed structure of NaUSe3, from the Alexandria database.

It has space group Pm-3m (No. 221), with a = 5.4369 Å, b = 5.4369 Å, c = 5.4369 Å, α = 90.00°, β = 90.00° and γ = 90.00°. The distinct sites, in fractional coordinates, are Na at (0.0000, 0.0000, 0.0000), U at (0.5000, 0.5000, 0.5000) and Se at (0.0000, 0.5000, 0.5000).

The density of states at the Fermi level is 3.66 states/eV/cell. Its total energy is -28.0 eV per cell. For the energy above the most stable polymorph in this dataset, the calculation gives 0.07 eV per formula unit. The total moment is 1.00 Bohr magnetons per cell.